No. 1
This record from the Alexandria database describes a crystal of Sr2YAlCr2O7 relaxed with PBEsol. The functional is SCAN.

a = 21.9503 Å, b = 5.5574 Å, c = 5.4121 Å
α = 90.00°, β = 90.00°, γ = 90.00°
Closest atoms and distances in Å follow each position.
Space group Ima2 (No. 46)
One atom of each set of equivalent atoms:
Sr 0.1539 0.0188 0.0000  5 O 2.45-2.63
Y 0.0000 0.0000 0.9995  4 O 2.28-2.30
Al 0.2500 0.5734 0.0267  4 O 1.76-1.79
Cr 0.0685 0.9998 0.4938  4 O 1.95-1.96
O 0.0666 0.2229 0.7708  2 Cr 1.95-1.96
O 0.0708 0.7222 0.7142  2 Cr 1.95
O 0.1772 0.0514 0.4759  1 Al 1.76
O 0.2500 0.6570 0.3459  2 Al 1.79

Summary:
magnetization	24.0	Bohr magnetons per cell
VASP energy	-15.32	eV per atom

=====

No. 2
This record from the Alexandria database describes a crystal of GeTe2MoRu relaxed with PBEsol. The functional is SCAN.

a = 5.1385 Å, b = 5.1385 Å, c = 4.7231 Å
α = 90.00°, β = 90.00°, γ = 90.00°
Closest atoms and distances in Å follow each position.
Space group P4/mmm (No. 123)
One atom of each set of equivalent atoms:
Ge 0.0000 0.0000 0.0000  2 Mo 2.36
Te 0.0000 0.5000 0.5000  2 Mo 2.57
Mo 0.0000 0.0000 0.5000  2 Ge 2.36, 4 Te 2.57
Ru 0.5000 0.5000 0.0000  8 Te 3.49, 4 Ge 3.63

Summary:
magnetization	2.7	Bohr magnetons per cell
VASP energy	-31.44	eV per atom

=====

- Among the records above, which one has the lowest VASP energy?
  GeTe2MoRu

=====

Please write out number 1 again, unchanged.
This record from the Alexandria database describes a crystal of Sr2YAlCr2O7 relaxed with PBEsol. The functional is SCAN.

a = 21.9503 Å, b = 5.5574 Å, c = 5.4121 Å
α = 90.00°, β = 90.00°, γ = 90.00°
Closest atoms and distances in Å follow each position.
Space group Ima2 (No. 46)
One atom of each set of equivalent atoms:
Sr 0.1539 0.0188 0.0000  5 O 2.45-2.63
Y 0.0000 0.0000 0.9995  4 O 2.28-2.30
Al 0.2500 0.5734 0.0267  4 O 1.76-1.79
Cr 0.0685 0.9998 0.4938  4 O 1.95-1.96
O 0.0666 0.2229 0.7708  2 Cr 1.95-1.96
O 0.0708 0.7222 0.7142  2 Cr 1.95
O 0.1772 0.0514 0.4759  1 Al 1.76
O 0.2500 0.6570 0.3459  2 Al 1.79

Summary:
magnetization	24.0	Bohr magnetons per cell
VASP energy	-15.32	eV per atom

=====

- Which of these has the lowest VASP energy?
  GeTe2MoRu

=====

- What is the VASP energy in the first record?
  -15.32 eV per atom